! PuHg2F4 PBE relaxed; values from VASP
! Density of states at the Fermi level = 0.92 states/eV/atom
! Volume = 28.43 Å³/atom
! Energy relative to the lowest polymorph listed for this composition = 0.0 meV per atom
! Symmetry = No. 139
&SYSTEM
  ibrav = 0, nat = 7, ntyp = 3
/
ATOMIC_SPECIES
Hg 200.59 Hg.upf
F 19.00 F.upf
Pu 244.00 Pu.upf
CELL_PARAMETERS angstrom
-1.961 0.948 3.934
-3.743 -2.086 -1.363
0.515 -9.038 5.004
ATOMIC_POSITIONS angstrom
Hg -4.026 -5.357 4.423
Hg -1.162 -4.819 3.152
F -0.204 -7.229 4.210
F -0.980 0.474 1.967
F -1.871 -1.043 -0.681
F -4.985 -2.947 3.365
Pu 0.000 0.000 0.000